[1]
The following is a GGA-PBE calculation of an optimized crystal structure of ScCdAg4, from the Alexandria database.

Properties
* formation enthalpy at 0 K: 0.204 eV/atom
* offset from the most stable computed form: 28.01 kJ per mole of atoms
* E: -0.2135 Ry/atom

```
ScCdAg4
1.0
3.423 -3.423 0.000
3.423 3.423 0.000
-0.012 0.000 5.855
Sc Cd Ag
1 1 4
direct
0.000 0.000 0.000 Sc
0.500 0.500 0.500 Cd
0.000 0.499 0.748 Ag
0.000 0.501 0.252 Ag
0.499 0.000 0.748 Ag
0.501 0.000 0.252 Ag
```

[2]
The following is a GGA-PBE calculation of an optimized crystal structure of Pm2AgGe2, from the Alexandria database.

Properties
* formation enthalpy at 0 K: -0.680 eV/atom
* offset from the most stable computed form: 0.00 kJ per mole of atoms
* E: -0.3673 Ry/atom

```
Pm2AgGe2
1.0
5.561 -2.227 0.000
5.561 2.227 0.000
-4.920 0.000 9.381
Pm Ag Ge
4 2 4
direct
0.004 0.004 0.324 Pm
0.186 0.186 0.102 Pm
0.814 0.814 0.898 Pm
0.996 0.996 0.676 Pm
0.279 0.279 0.643 Ag
0.721 0.721 0.357 Ag
0.368 0.368 0.428 Ge
0.473 0.473 0.110 Ge
0.527 0.527 0.890 Ge
0.632 0.632 0.572 Ge
```

[3]
The following is a GGA-PBE calculation of an optimized crystal structure of ZnReHg, from the Alexandria database.

Properties
* formation enthalpy at 0 K: 0.693 eV/atom
* offset from the most stable computed form: 14.99 kJ per mole of atoms
* E: -0.2927 Ry/atom

```
ZnReHg
1.0
-1.398 1.788 5.072
1.398 -1.788 5.072
1.398 1.788 -5.072
Zn Re Hg
1 1 1
direct
0.000 0.000 0.000 Zn
0.634 0.634 0.000 Re
0.322 0.322 0.000 Hg
```

[4]
The following is a GGA-PBE calculation of an optimized crystal structure of ScInTc, from the Alexandria database.

Properties
* formation enthalpy at 0 K: 0.025 eV/atom
* offset from the most stable computed form: 19.03 kJ per mole of atoms
* E: -0.4744 Ry/atom

```
ScInTc
1.0
0.000 2.417 6.698
1.788 0.000 6.698
1.788 2.417 0.000
Sc In Tc
1 1 1
direct
0.000 0.000 0.000 Sc
0.308 0.308 0.692 In
0.647 0.647 0.353 Tc
```

[5]
The following is a GGA-PBE calculation of an optimized crystal structure of TlPb, from the Alexandria database.

Properties
* formation enthalpy at 0 K: 0.019 eV/atom
* E: -0.2218 Ry/atom

```
TlPb
1.0
1.725 -7.201 0.000
1.725 7.201 0.000
0.000 0.000 5.085
Tl Pb
2 2
direct
0.071 0.929 0.750 Tl
0.929 0.071 0.250 Tl
0.314 0.686 0.750 Pb
0.686 0.314 0.250 Pb
```

[6]
The following is a GGA-PBE calculation of an optimized crystal structure of Li2LaGeAu, from the Alexandria database.

Properties
* formation enthalpy at 0 K: -0.178 eV/atom
* E: -0.2578 Ry/atom

```
Li2LaGeAu
1.0
4.933 0.000 0.000
0.000 4.933 0.000
0.000 0.000 6.087
Li La Ge Au
2 1 1 1
direct
0.000 0.500 0.000 Li
0.500 0.000 0.000 Li
0.000 0.000 0.500 La
0.500 0.500 0.500 Ge
0.000 0.000 0.000 Au
```

[7]
The following is a GGA-PBE calculation of an optimized crystal structure of LaNdEuSn, from the Alexandria database.

Properties
* formation enthalpy at 0 K: -0.313 eV/atom
* E: -0.4635 Ry/atom

```
LaNdEuSn
1.0
0.000 3.987 3.987
3.987 0.000 3.987
3.987 3.987 0.000
La Nd Eu Sn
1 1 1 1
direct
0.000 0.000 0.000 La
0.500 0.500 0.500 Nd
0.250 0.250 0.250 Eu
0.750 0.750 0.750 Sn
```

[8]
The following is a GGA-PBE calculation of an optimized crystal structure of KMn2Pt, from the Alexandria database.

Properties
* formation enthalpy at 0 K: 0.368 eV/atom
* offset from the most stable computed form: 1.95 kJ per mole of atoms
* E: -0.4411 Ry/atom

```
KMn2Pt
1.0
4.294 -1.482 0.000
4.294 1.482 0.000
-0.601 0.000 7.236
K Mn Pt
1 2 1
direct
0.000 0.000 0.000 K
0.230 0.230 0.653 Mn
0.770 0.770 0.347 Mn
0.500 0.500 0.500 Pt
```

[9]
The following is a GGA-PBE calculation of an optimized crystal structure of Be3Pt, from the Alexandria database.

Properties
* formation enthalpy at 0 K: 0.060 eV/atom
* E: -0.3120 Ry/atom

```
Be3Pt
1.0
1.325 0.765 7.375
-1.325 0.765 7.375
0.000 -1.530 7.375
Be Pt
3 1
direct
0.000 0.000 0.000 Be
0.254 0.254 0.254 Be
0.746 0.746 0.746 Be
0.500 0.500 0.500 Pt
```

[10]
The following is a GGA-PBE calculation of an optimized crystal structure of Ta2CuSe, from the Alexandria database.

Properties
* uncorrected formation energy: 0.05 eV per atom
* E: -0.5709 Ry/atom

```
Ta2CuSe
1.0
1.605 0.927 8.468
-1.605 0.927 8.468
0.000 -1.854 8.468
Ta Cu Se
2 1 1
direct
0.000 0.000 0.000 Ta
0.248 0.248 0.248 Ta
0.506 0.506 0.506 Cu
0.739 0.739 0.739 Se
```

[11]
The following is a GGA-PBE calculation of an optimized crystal structure of VNi4H, from the Alexandria database.

Properties
* E: -0.4130 Ry/atom

```
VNi4H
1.0
-2.776 2.776 4.217
2.776 -2.776 4.217
2.776 2.776 -4.217
V Ni H
2 8 2
direct
0.000 0.000 0.000 V
0.750 0.250 0.500 V
0.181 0.472 0.709 Ni
0.222 0.014 0.791 Ni
0.222 0.431 0.209 Ni
0.521 0.233 0.711 Ni
0.521 0.810 0.289 Ni
0.560 0.771 0.789 Ni
0.764 0.472 0.291 Ni
0.983 0.771 0.211 Ni
0.364 0.864 0.500 H
0.614 0.614 0.000 H
```

[12]
The following is a GGA-PBE calculation of an optimized crystal structure of Ho3Sc7Tc4, from the Alexandria database.

Properties
* formation enthalpy at 0 K: -0.088 eV/atom
* E: -0.5290 Ry/atom

```
Ho3Sc7Tc4
1.0
8.979 -1.807 0.000
8.979 1.807 0.000
-5.913 0.000 9.525
Ho Sc Tc
3 7 4
direct
0.000 0.000 0.000 Ho
0.301 0.301 0.302 Ho
0.699 0.699 0.698 Ho
0.000 0.000 0.500 Sc
0.164 0.164 0.414 Sc
0.322 0.322 0.988 Sc
0.495 0.495 0.742 Sc
0.505 0.505 0.258 Sc
0.678 0.678 0.012 Sc
0.836 0.836 0.586 Sc
0.119 0.119 0.793 Tc
0.355 0.355 0.779 Tc
0.645 0.645 0.221 Tc
0.881 0.881 0.207 Tc
```

[13]
The following is a GGA-PBE calculation of an optimized crystal structure of In3Re5, from the Alexandria database.

Properties
* formation enthalpy at 0 K: 0.775 eV/atom
* E: -0.5903 Ry/atom

```
In3Re5
1.0
4.073 -4.104 0.000
4.073 4.104 0.000
0.000 0.000 4.039
In Re
3 5
direct
0.000 0.000 0.000 In
0.253 0.747 0.500 In
0.747 0.253 0.500 In
0.000 0.500 0.000 Re
0.261 0.261 0.500 Re
0.500 0.000 0.000 Re
0.500 0.500 0.000 Re
0.739 0.739 0.500 Re
```

[14]
The following is a GGA-PBE calculation of an optimized crystal structure of ScBe2Cr, from the Alexandria database.

Properties
* formation enthalpy at 0 K: 0.240 eV/atom
* offset from the most stable computed form: 18.99 kJ per mole of atoms
* E: -0.4124 Ry/atom

```
ScBe2Cr
1.0
-1.375 2.136 4.222
1.375 -2.136 4.222
1.375 2.136 -4.222
Sc Be Cr
1 2 1
direct
0.000 0.000 0.000 Sc
0.273 0.773 0.500 Be
0.466 0.466 0.000 Be
0.723 0.223 0.500 Cr
```

[15]
The following is a GGA-PBE calculation of an optimized crystal structure of Pm5ThP6, from the Alexandria database.

Properties
* formation enthalpy at 0 K: -1.586 eV/atom
* E: -0.5063 Ry/atom

```
Pm5ThP6
1.0
3.582 -6.200 0.000
3.582 6.200 0.000
-2.387 0.000 6.750
Pm Th P
5 1 6
direct
0.000 0.000 0.000 Pm
0.166 0.834 0.500 Pm
0.333 0.667 0.000 Pm
0.667 0.333 0.000 Pm
0.834 0.166 0.500 Pm
0.500 0.500 0.500 Th
0.086 0.417 0.251 P
0.252 0.252 0.749 P
0.417 0.086 0.251 P
0.583 0.914 0.749 P
0.748 0.748 0.251 P
0.914 0.583 0.749 P
```

[16]
The following is a GGA-PBE calculation of an optimized crystal structure of BeFeTcIr, from the Alexandria database.

Properties
* formation enthalpy at 0 K: -0.161 eV/atom
* E: -0.5891 Ry/atom

```
BeFeTcIr
1.0
0.000 2.904 2.904
2.904 0.000 2.904
2.904 2.904 0.000
Be Fe Tc Ir
1 1 1 1
direct
0.000 0.000 0.000 Be
0.500 0.500 0.500 Fe
0.250 0.250 0.250 Tc
0.750 0.750 0.750 Ir
```

[17]
The following is a GGA-PBE calculation of an optimized crystal structure of Dy2Ho3Ag3, from the Alexandria database.

Properties
* formation enthalpy at 0 K: -0.222 eV/atom
* E: -0.3056 Ry/atom

```
Dy2Ho3Ag3
1.0
-1.829 2.616 10.724
1.829 -2.616 10.724
1.829 2.616 -10.724
Dy Ho Ag
2 3 3
direct
0.232 0.232 0.000 Dy
0.768 0.768 0.000 Dy
0.000 0.000 0.000 Ho
0.380 0.880 0.500 Ho
0.620 0.120 0.500 Ho
0.117 0.617 0.500 Ag
0.500 0.500 0.000 Ag
0.883 0.383 0.500 Ag
```

[18]
The following is a GGA-PBE calculation of an optimized crystal structure of TlCrFe2Cl8, from the Alexandria database.

Properties
* uncorrected formation energy: -0.83 eV per atom
* E: -0.3290 Ry/atom

```
TlCrFe2Cl8
1.0
3.106 1.793 9.532
-3.106 1.793 9.532
0.000 -3.586 9.532
Tl Cr Fe Cl
1 1 2 8
direct
0.000 0.000 0.000 Tl
0.500 0.500 0.500 Cr
0.238 0.238 0.238 Fe
0.762 0.762 0.762 Fe
0.149 0.438 0.766 Cl
0.234 0.851 0.562 Cl
0.316 0.316 0.316 Cl
0.438 0.766 0.149 Cl
0.562 0.234 0.851 Cl
0.684 0.684 0.684 Cl
0.766 0.149 0.438 Cl
0.851 0.562 0.234 Cl
```

[19]
The following is a GGA-PBE calculation of an optimized crystal structure of NaNdZnIn, from the Alexandria database.

Properties
* formation enthalpy at 0 K: -0.206 eV/atom
* E: -0.2007 Ry/atom

```
NaNdZnIn
1.0
0.000 3.706 3.706
3.706 0.000 3.706
3.706 3.706 0.000
Na Nd Zn In
1 1 1 1
direct
0.000 0.000 0.000 Na
0.500 0.500 0.500 Nd
0.750 0.750 0.750 Zn
0.250 0.250 0.250 In
```

[20]
The following is a GGA-PBE calculation of an optimized crystal structure of TlH2PdBr, from the Alexandria database.

Properties
* E: -0.2196 Ry/atom

```
TlH2PdBr
1.0
3.988 0.000 0.000
0.000 3.988 0.000
0.000 0.000 5.612
Tl H Pd Br
1 2 1 1
direct
0.000 0.000 0.000 Tl
0.000 0.500 0.500 H
0.500 0.000 0.500 H
0.000 0.000 0.500 Pd
0.500 0.500 0.000 Br
```

[21]
The following is a GGA-PBE calculation of an optimized crystal structure of Ca2CuPtN, from the Alexandria database.

Properties
* uncorrected formation energy: -0.46 eV per atom
* offset from the most stable computed form: 16.62 kJ per mole of atoms
* E: -0.3640 Ry/atom

```
Ca2CuPtN
1.0
4.961 0.000 0.000
0.000 4.961 0.000
0.000 0.000 3.895
Ca Cu Pt N
2 1 1 1
direct
0.000 0.500 0.000 Ca
0.500 0.000 0.000 Ca
0.000 0.000 0.500 Cu
0.500 0.500 0.500 Pt
0.500 0.500 0.000 N
```

[22]
The following is a GGA-PBE calculation of an optimized crystal structure of AcLuSe, from the Alexandria database.

Properties
* uncorrected formation energy: -0.88 eV per atom
* offset from the most stable computed form: 0.00 kJ per mole of atoms
* E: -0.3615 Ry/atom

```
AcLuSe
1.0
-1.894 1.894 6.333
1.894 -1.894 6.333
1.894 1.894 -6.333
Ac Lu Se
1 1 1
direct
0.000 0.000 0.000 Ac
0.697 0.697 0.000 Lu
0.289 0.289 0.000 Se
```

[23]
The following is a GGA-PBE calculation of an optimized crystal structure of ZrHg2As, from the Alexandria database.

Properties
* formation enthalpy at 0 K: -0.177 eV/atom
* E: -0.2666 Ry/atom

```
ZrHg2As
1.0
4.063 0.000 0.000
0.000 4.063 0.000
0.000 0.000 5.164
Zr Hg As
1 2 1
direct
0.000 0.000 0.000 Zr
0.000 0.500 0.500 Hg
0.500 0.000 0.500 Hg
0.500 0.500 0.000 As
```

[24]
The following is a GGA-PBE calculation of an optimized crystal structure of VFeSi, from the Alexandria database.

Properties
* uncorrected formation energy: -0.41 eV per atom
* E: -0.5939 Ry/atom

```
VFeSi
1.0
1.881 -4.817 0.000
1.881 4.817 0.000
0.000 0.000 3.895
V Fe Si
2 2 2
direct
0.082 0.918 0.750 V
0.918 0.082 0.250 V
0.246 0.754 0.250 Fe
0.754 0.246 0.750 Fe
0.392 0.608 0.750 Si
0.608 0.392 0.250 Si
```

[25]
The following is a GGA-PBE calculation of an optimized crystal structure of YSb2, from the Alexandria database.

Properties
* uncorrected formation energy: -0.17 eV per atom
* E: -0.3725 Ry/atom

```
YSb2
1.0
6.357 0.000 0.000
-3.179 5.506 0.000
0.000 0.000 9.875
Y Sb
4 8
direct
0.333 0.667 0.063 Y
0.333 0.667 0.437 Y
0.667 0.333 0.563 Y
0.667 0.333 0.937 Y
0.000 0.000 0.000 Sb
0.000 0.000 0.500 Sb
0.175 0.351 0.750 Sb
0.175 0.825 0.750 Sb
0.351 0.175 0.250 Sb
0.649 0.825 0.750 Sb
0.825 0.175 0.250 Sb
0.825 0.649 0.250 Sb
```

[26]
The following is a GGA-PBE calculation of an optimized crystal structure of KTaSb2I, from the Alexandria database.

Properties
* uncorrected formation energy: 1.94 eV per atom
* offset from the most stable computed form: 194.92 kJ per mole of atoms
* E: -0.1916 Ry/atom

```
KTaSb2I
1.0
5.695 0.000 0.000
0.000 5.695 0.000
0.000 0.000 5.722
K Ta Sb I
1 1 2 1
direct
0.000 0.000 0.000 K
0.500 0.500 0.500 Ta
0.000 0.500 0.000 Sb
0.500 0.000 0.000 Sb
0.000 0.000 0.500 I
```